Here is a geometry-optimized In2Si2Hg structure from Alexandria via LeMat-Bulk. Energies are from PBE.

The calculation puts the uncorrected formation energy at 24.3 kJ/mol of atoms. The total energy is -15.4 eV/cell. As for the space-group type: I4/mmm (139). For the density, the calculation gives 6.685 g/cm3. As for the relative energy among the computed polymorphs: 0.0557 eV per atom.

Cell lengths 6.1309, 6.1309, 6.1309 Å; angles 133.06, 133.06, 68.57 degrees
Sites, in units of the cell vectors:
1 In 0.2500 0.7500 0.5000
2 In 0.7500 0.2500 0.5000
3 Si 0.1150 0.1150 0.0000
4 Si 0.8850 0.8850 0.0000
5 Hg 0.5000 0.5000 0.0000